Entry 1:
# Pr2Y4Tl PBE relaxed
# Formation enthalpy at 0 K   -0.020 eV/atom
# Total moment   0.00 μB/cell
# Calculated volume   448 Å³ per cell
# Fermi-level density of states   1.292 states/eV/atom
# Electronic total energy   -75.85 eV for the cell shown
data_Pr2Y4Tl
_chemical_formula_sum 'Pr4 Y8 Tl2'
_symmetry_space_group_name_H-M 'P 1 21/m 1'
_symmetry_Int_Tables_number 11
_symmetry_space_group_name_Hall '-P 2yb'
_cell_length_a 5.745
_cell_length_b 6.798
_cell_length_c 11.787
_cell_angle_alpha 90.00
_cell_angle_beta 103.24
_cell_angle_gamma 90.00
loop_
_atom_site_label
_atom_site_fract_x
_atom_site_fract_y
_atom_site_fract_z
_atom_site_occupancy
Pr1 0.011 0.250 0.474 1
Pr2 0.324 0.750 0.076 1
Y1 0.156 0.007 0.787 1
Y2 0.233 0.250 0.069 1
Y3 0.415 0.750 0.370 1
Tl1 0.444 0.250 0.337 1

---

Entry 2:
# KCrSe2N PBE relaxed
# Energy relative to the elements, uncorrected   -0.157 eV/atom
# Total moment   1.31 μB/cell
# Calculated volume   102 Å³ per cell
# Fermi-level density of states   0.976 states/eV/atom
# Electronic total energy   -26.80 eV for the cell shown
data_KCrSe2N
_chemical_formula_sum 'K1 Cr1 Se2 N1'
_symmetry_space_group_name_H-M 'P 4/m m m'
_symmetry_Int_Tables_number 123
_symmetry_space_group_name_Hall '-P 4 2'
_cell_length_a 5.344
_cell_length_b 5.344
_cell_length_c 3.564
_cell_angle_alpha 90.00
_cell_angle_beta 90.00
_cell_angle_gamma 90.00
loop_
_atom_site_label
_atom_site_fract_x
_atom_site_fract_y
_atom_site_fract_z
_atom_site_occupancy
K1 0.000 0.000 0.000 1
Cr1 0.500 0.500 0.500 1
Se1 0.000 0.500 0.500 1
N1 0.500 0.500 0.000 1

---

Entry 3:
# GeRuI2 PBE relaxed
# Energy relative to the elements, uncorrected   0.731 eV/atom
# Total moment   0.00 μB/cell
# Calculated volume   524 Å³ per cell
# Fermi-level density of states   1.085 states/eV/atom
# Electronic total energy   -56.28 eV for the cell shown
data_GeRuI2
_chemical_formula_sum 'Ge4 Ru4 I8'
_symmetry_space_group_name_H-M 'I -4 2 d'
_symmetry_Int_Tables_number 122
_symmetry_space_group_name_Hall 'I -4 2bw'
_cell_length_a 6.583
_cell_length_b 6.583
_cell_length_c 12.083
_cell_angle_alpha 90.00
_cell_angle_beta 90.00
_cell_angle_gamma 90.00
loop_
_atom_site_label
_atom_site_fract_x
_atom_site_fract_y
_atom_site_fract_z
_atom_site_occupancy
Ge1 0.000 0.000 0.000 1
Ru1 0.000 0.000 0.500 1
I1 0.196 0.250 0.625 1

---

Entry 4:
# Zr4TlI8 PBE relaxed
# Energy relative to the elements, uncorrected   -0.686 eV/atom
# Total moment   0.00 μB/cell
# Calculated volume   854 Å³ per cell
# Fermi-level density of states   0.419 states/eV/atom
# Electronic total energy   -115.76 eV for the cell shown
data_Zr4TlI8
_chemical_formula_sum 'Zr8 Tl2 I16'
_symmetry_space_group_name_H-M 'C 1 2/m 1'
_symmetry_Int_Tables_number 12
_symmetry_space_group_name_Hall '-C 2y'
_cell_length_a 21.135
_cell_length_b 3.777
_cell_length_c 14.788
_cell_angle_alpha 90.00
_cell_angle_beta 133.66
_cell_angle_gamma 90.00
loop_
_atom_site_label
_atom_site_fract_x
_atom_site_fract_y
_atom_site_fract_z
_atom_site_occupancy
Zr1 0.181 0.000 0.485 1
Zr2 0.194 0.500 0.877 1
Tl1 0.000 0.000 0.000 1
I1 0.043 0.000 0.718 1
I2 0.133 0.500 0.293 1
I3 0.157 0.500 0.616 1
I4 0.170 0.500 0.048 1

---

Entry 5:
# MgP2IrCl PBE relaxed
# Energy relative to the elements, uncorrected   0.240 eV/atom
# Total moment   0.00 μB/cell
# Calculated volume   110 Å³ per cell
# Fermi-level density of states   0.883 states/eV/atom
# Electronic total energy   -21.92 eV for the cell shown
data_MgP2IrCl
_chemical_formula_sum 'Mg1 P2 Ir1 Cl1'
_symmetry_space_group_name_H-M 'P 4/m m m'
_symmetry_Int_Tables_number 123
_symmetry_space_group_name_Hall '-P 4 2'
_cell_length_a 4.539
_cell_length_b 4.539
_cell_length_c 5.360
_cell_angle_alpha 90.00
_cell_angle_beta 90.00
_cell_angle_gamma 90.00
loop_
_atom_site_label
_atom_site_fract_x
_atom_site_fract_y
_atom_site_fract_z
_atom_site_occupancy
Mg1 0.000 0.000 0.000 1
P1 0.000 0.500 0.500 1
Ir1 0.500 0.500 0.500 1
Cl1 0.500 0.500 0.000 1

---

Entry 6:
# TlBiI2O PBE relaxed
# Energy relative to the elements, uncorrected   0.057 eV/atom
# Total moment   0.00 μB/cell
# Calculated volume   159 Å³ per cell
# Fermi-level density of states   0.806 states/eV/atom
# Electronic total energy   -14.02 eV for the cell shown
data_TlBiI2O
_chemical_formula_sum 'Tl1 Bi1 I2 O1'
_symmetry_space_group_name_H-M 'P 4/m m m'
_symmetry_Int_Tables_number 123
_symmetry_space_group_name_Hall '-P 4 2'
_cell_length_a 6.245
_cell_length_b 6.245
_cell_length_c 4.086
_cell_angle_alpha 90.00
_cell_angle_beta 90.00
_cell_angle_gamma 90.00
loop_
_atom_site_label
_atom_site_fract_x
_atom_site_fract_y
_atom_site_fract_z
_atom_site_occupancy
Tl1 0.000 0.000 0.000 1
Bi1 0.500 0.500 0.500 1
I1 0.000 0.500 0.000 1
O1 0.000 0.000 0.500 1

---

Entry 7:
# BaAlIn2 PBE relaxed
# Formation enthalpy at 0 K   -0.118 eV/atom
# Total moment   0.00 μB/cell
# Calculated volume   123 Å³ per cell
# Fermi-level density of states   0.621 states/eV/atom
# Electronic total energy   -11.61 eV for the cell shown
data_BaAlIn2
_chemical_formula_sum 'Ba1 Al1 In2'
_symmetry_space_group_name_H-M 'P 1 m 1'
_symmetry_Int_Tables_number 6
_symmetry_space_group_name_Hall 'P -2y'
_cell_length_a 3.730
_cell_length_b 4.697
_cell_length_c 7.278
_cell_angle_alpha 90.00
_cell_angle_beta 104.73
_cell_angle_gamma 90.00
loop_
_atom_site_label
_atom_site_fract_x
_atom_site_fract_y
_atom_site_fract_z
_atom_site_occupancy
Ba1 0.000 0.000 0.000 1
Al1 0.367 0.500 0.730 1
In1 0.260 0.000 0.520 1
In2 0.678 0.500 0.353 1

---

Entry 8:
# SbHSI2 PBE relaxed
# Total moment   0.01 μB/cell
# Calculated volume   120 Å³ per cell
# Fermi-level density of states   0.972 states/eV/atom
# Electronic total energy   -11.21 eV for the cell shown
data_SbHSI2
_chemical_formula_sum 'Sb1 H1 S1 I2'
_symmetry_space_group_name_H-M 'P 4/m m m'
_symmetry_Int_Tables_number 123
_symmetry_space_group_name_Hall '-P 4 2'
_cell_length_a 5.548
_cell_length_b 5.548
_cell_length_c 3.894
_cell_angle_alpha 90.00
_cell_angle_beta 90.00
_cell_angle_gamma 90.00
loop_
_atom_site_label
_atom_site_fract_x
_atom_site_fract_y
_atom_site_fract_z
_atom_site_occupancy
Sb1 0.000 0.000 0.000 1
H1 0.000 0.000 0.500 1
S1 0.500 0.500 0.000 1
I1 0.000 0.500 0.500 1